[1]
VASP calculation (GGA-PBE) on an optimized crystal structure of K2AuF.

Cell lengths 4.573, 7.558, 13.576 Å; angles 90.00, 90.00, 90.00 degrees
Atoms (fractional coordinates):
K (0.750, 0.177, 0.530)
K (0.250, 0.323, 0.030)
K (0.250, 0.823, 0.470)
K (0.750, 0.677, 0.970)
K (0.750, 0.654, 0.256)
K (0.250, 0.846, 0.756)
K (0.250, 0.346, 0.744)
K (0.750, 0.154, 0.244)
Au (0.750, 0.600, 0.624)
Au (0.250, 0.900, 0.124)
Au (0.250, 0.400, 0.376)
Au (0.750, 0.100, 0.876)
F (0.750, 0.924, 0.389)
F (0.250, 0.576, 0.889)
F (0.250, 0.076, 0.611)
F (0.750, 0.424, 0.111)

Calculated values
distance to the lowest polymorph of the same formula = 0.0 kJ/mol of atoms
uncorrected formation energy = -1.464 eV per atom

=====

[2]
VASP calculation (GGA-PBE) on an optimized crystal structure of K12Au3F5.

Cell lengths 15.242, 15.242, 15.242 Å; angles 109.47, 109.47, 109.47 degrees
Atoms (fractional coordinates):
Au (0.750, 0.375, 0.125)
Au (0.875, 0.750, 0.125)
Au (0.375, 0.750, 0.625)
Au (0.250, 0.125, 0.375)
Au (0.875, 0.125, 0.250)
Au (0.375, 0.625, 0.250)
Au (0.625, 0.375, 0.750)
Au (0.125, 0.875, 0.750)
Au (0.750, 0.875, 0.625)
Au (0.625, 0.250, 0.375)
Au (0.125, 0.250, 0.875)
Au (0.250, 0.625, 0.875)
F (0.125, 0.375, 0.250)
F (0.000, 0.500, 0.000)
F (0.000, 0.000, 0.000)
F (0.375, 0.250, 0.125)
F (0.500, 0.000, 0.500)
F (0.500, 0.500, 0.000)
F (0.125, 0.750, 0.375)
F (0.750, 0.125, 0.875)
F (0.750, 0.625, 0.375)
F (0.375, 0.125, 0.750)
F (0.625, 0.875, 0.250)
F (0.500, 0.500, 0.500)
F (0.500, 0.000, 0.000)
F (0.000, 0.000, 0.500)
F (0.250, 0.375, 0.625)
F (0.250, 0.875, 0.125)
F (0.000, 0.500, 0.500)
F (0.875, 0.250, 0.625)
F (0.625, 0.750, 0.875)
F (0.875, 0.625, 0.750)
K (0.699, 0.118, 0.017)
K (0.318, 0.517, 0.400)
K (0.983, 0.382, 0.301)
K (0.517, 0.199, 0.118)
K (0.581, 0.699, 0.682)
K (0.983, 0.600, 0.182)
K (0.318, 0.801, 0.419)
K (0.100, 0.919, 0.118)
K (0.600, 0.983, 0.682)
K (0.699, 0.581, 0.182)
K (0.801, 0.483, 0.382)
K (0.818, 0.900, 0.017)
K (0.118, 0.699, 0.517)
K (0.382, 0.400, 0.081)
K (0.081, 0.900, 0.382)
K (0.419, 0.118, 0.600)
K (0.081, 0.182, 0.199)
K (0.483, 0.682, 0.100)
K (0.818, 0.919, 0.301)
K (0.118, 0.419, 0.100)
K (0.382, 0.983, 0.801)
K (0.600, 0.618, 0.419)
K (0.900, 0.818, 0.517)
K (0.801, 0.318, 0.919)
K (0.400, 0.382, 0.581)
K (0.100, 0.182, 0.483)
K (0.199, 0.682, 0.081)
K (0.182, 0.081, 0.699)
K (0.618, 0.017, 0.199)
K (0.882, 0.581, 0.900)
K (0.517, 0.318, 0.900)
K (0.581, 0.882, 0.400)
K (0.919, 0.818, 0.801)
K (0.919, 0.100, 0.618)
K (0.882, 0.301, 0.483)
K (0.182, 0.100, 0.983)
K (0.618, 0.600, 0.919)
K (0.400, 0.017, 0.318)
K (0.301, 0.419, 0.818)
K (0.199, 0.517, 0.618)
K (0.900, 0.081, 0.882)
K (0.682, 0.199, 0.581)
K (0.483, 0.801, 0.882)
K (0.017, 0.400, 0.818)
K (0.419, 0.301, 0.318)
K (0.017, 0.618, 0.699)
K (0.682, 0.483, 0.600)
K (0.301, 0.882, 0.983)

Calculated values
uncorrected formation energy = -1.374 eV per atom